# K2ScCr

An optimized crystal structure of K2ScCr (PBE, Alexandria).

Summary:
ΔE_f = 1.0099 eV/atom
crystal system = orthorhombic

a = 3.353 Å, b = 6.219 Å, c = 6.712 Å
α = 90.00°, β = 90.00°, γ = 90.00°
Element x y z (fractional)
Cr 0.500 0.500 0.750
K 0.000 0.000 0.992
K 0.000 0.000 0.508
Sc 0.500 0.500 0.250

=====

# K2ScCr

An optimized crystal structure of K2ScCr (PBE, Alexandria).

Summary:
ΔE_f = 0.9532 eV/atom
crystal system = monoclinic

a = 5.865 Å, b = 7.353 Å, c = 3.426 Å
α = 77.75°, β = 87.01°, γ = 112.75°
Element x y z (fractional)
Cr 0.500 0.500 0.000
K 0.000 0.000 0.000
K 0.500 0.000 0.500
Sc 0.000 0.500 0.500

=====

# K2ScCr

An optimized crystal structure of K2ScCr (PBE, Alexandria).

Summary:
ΔE_f = 1.0009 eV/atom
crystal system = orthorhombic

a = 7.104 Å, b = 7.104 Å, c = 3.352 Å
α = 90.00°, β = 90.00°, γ = 123.95°
Element x y z (fractional)
Cr 0.000 0.500 0.500
K 0.000 0.000 0.000
K 0.500 0.500 0.000
Sc 0.500 0.000 0.500

=====

# K2ScCr

An optimized crystal structure of K2ScCr (PBE, Alexandria).

Summary:
ΔE_f = 0.8482 eV/atom
crystal system = orthorhombic

a = 7.675 Å, b = 7.675 Å, c = 7.675 Å
α = 154.62°, β = 128.27°, γ = 58.47°
Element x y z (fractional)
Cr 0.279 0.779 0.500
K 0.038 0.038 0.000
K 0.743 0.243 0.500
Sc 0.440 0.440 0.000

=====

# KSc2Cr

An optimized crystal structure of KSc2Cr (PBE, Alexandria).

Summary:
ΔE_f = 0.9262 eV/atom
crystal system = tetragonal

a = 5.333 Å, b = 5.333 Å, c = 3.578 Å
α = 90.00°, β = 90.00°, γ = 90.00°
Element x y z (fractional)
Cr 0.500 0.000 0.500
K 0.000 0.500 0.500
Sc 0.000 0.000 0.000
Sc 0.500 0.500 0.000

=====

# KSc2Cr

An optimized crystal structure of KSc2Cr (PBE, Alexandria).

Summary:
ΔE_f = 0.7525 eV/atom
crystal system = orthorhombic

a = 6.488 Å, b = 6.488 Å, c = 6.488 Å
α = 150.25°, β = 126.51°, γ = 62.41°
Element x y z (fractional)
Cr 0.750 0.250 0.500
K 0.250 0.750 0.500
Sc 0.958 0.958 0.000
Sc 0.542 0.542 0.000

=====

# KScCr2

An optimized crystal structure of KScCr2 (PBE, Alexandria).

Summary:
ΔE_f = 0.9881 eV/atom
crystal system = monoclinic

a = 4.937 Å, b = 4.937 Å, c = 7.754 Å
α = 85.81°, β = 85.81°, γ = 35.77°
Element x y z (fractional)
Cr 0.989 0.989 0.100
Cr 0.511 0.511 0.400
K 0.750 0.750 0.750
Sc 0.250 0.250 0.250

=====

# KScCr2

An optimized crystal structure of KScCr2 (PBE, Alexandria).

Summary:
ΔE_f = 0.9621 eV/atom
crystal system = trigonal

a = 10.704 Å, b = 10.704 Å, c = 10.704 Å
α = 17.32°, β = 17.32°, γ = 17.32°
Element x y z (fractional)
Cr 0.013 0.013 0.013
Cr 0.487 0.487 0.487
K 0.250 0.250 0.250
Sc 0.750 0.750 0.750

=====

# KScCr

An optimized crystal structure of KScCr (PBE, Alexandria).

Summary:
ΔE_f = 1.0652 eV/atom
crystal system = trigonal

a = 5.545 Å, b = 5.545 Å, c = 3.135 Å
α = 90.00°, β = 90.00°, γ = 120.00°
Element x y z (fractional)
Cr 0.000 0.000 0.024
K 0.667 0.333 0.330
Sc 0.333 0.667 0.646

=====

# K2ScCr

An optimized crystal structure of K2ScCr (PBE, Alexandria).

Summary:
ΔE_f = 0.9543 eV/atom
crystal system = monoclinic

a = 6.563 Å, b = 3.426 Å, c = 5.860 Å
α = 86.83°, β = 90.00°, γ = 90.00°
Element x y z (fractional)
Cr 0.500 0.750 0.750
K 0.000 0.993 0.991
K 0.000 0.507 0.509
Sc 0.500 0.250 0.250

=====

# KScCr2

An optimized crystal structure of KScCr2 (PBE, Alexandria).

Summary:
ΔE_f = 1.1038 eV/atom
crystal system = orthorhombic

a = 6.573 Å, b = 6.573 Å, c = 6.573 Å
α = 152.58°, β = 129.74°, γ = 58.20°
Element x y z (fractional)
Cr 0.996 0.996 0.000
Cr 0.781 0.281 0.500
K 0.509 0.509 0.000
Sc 0.214 0.714 0.500

=====

# KSc2Cr

An optimized crystal structure of KSc2Cr (PBE, Alexandria).

Summary:
ΔE_f = 0.5641 eV/atom
crystal system = tetragonal

a = 3.651 Å, b = 3.651 Å, c = 8.961 Å
α = 90.00°, β = 90.00°, γ = 90.00°
Element x y z (fractional)
Cr 0.000 0.000 0.412
K 0.500 0.500 0.721
Sc 0.000 0.000 0.081
Sc 0.500 0.500 0.285

=====

# K2ScCr

An optimized crystal structure of K2ScCr (PBE, Alexandria).

Summary:
ΔE_f = 0.9790 eV/atom
crystal system = orthorhombic

a = 3.433 Å, b = 3.433 Å, c = 12.782 Å
α = 90.00°, β = 90.00°, γ = 114.05°
Element x y z (fractional)
Cr 0.500 0.500 0.750
K 0.000 0.000 0.985
K 0.000 0.000 0.515
Sc 0.500 0.500 0.250

=====

# KSc2Cr

An optimized crystal structure of KSc2Cr (PBE, Alexandria).

Summary:
ΔE_f = 0.6012 eV/atom
crystal system = monoclinic

a = 4.345 Å, b = 4.345 Å, c = 9.098 Å
α = 86.47°, β = 86.47°, γ = 43.37°
Element x y z (fractional)
Cr 0.750 0.750 0.750
K 0.250 0.250 0.250
Sc 0.022 0.022 0.899
Sc 0.478 0.478 0.601

=====

# KScCr2

An optimized crystal structure of KScCr2 (PBE, Alexandria).

Summary:
ΔE_f = 1.1612 eV/atom
crystal system = orthorhombic

a = 2.688 Å, b = 2.688 Å, c = 10.443 Å
α = 90.00°, β = 90.00°, γ = 93.65°
Element x y z (fractional)
Cr 0.000 0.000 0.959
Cr 0.000 0.000 0.541
K 0.500 0.500 0.250
Sc 0.500 0.500 0.750

=====

# KScCr

An optimized crystal structure of KScCr (PBE, Alexandria).

Summary:
ΔE_f = 1.3053 eV/atom
crystal system = cubic

a = 5.253 Å, b = 5.253 Å, c = 5.253 Å
α = 60.00°, β = 60.00°, γ = 60.00°
Element x y z (fractional)
Cr 0.750 0.750 0.750
K 0.000 0.000 0.000
Sc 0.500 0.500 0.500